The following is a PBE calculation of an optimized crystal structure of TiReMo3, from the Alexandria database.

## Properties
Relative energy among the computed polymorphs ... 0.0390 eV per atom
SG ... No. 148
ΔE_f ... 398 meV/atom
Calculated density ... 10421 kg/m³
VASP energy ... -10.169 eV/atom
Magnetization ... 0.000 μB per formula unit
Crystal system ... trigonal

a = 5.503 Å, b = 5.503 Å, c = 5.503 Å
α = 88.01°, β = 88.01°, γ = 88.01°
Element x y z (fractional)
Mo: 0.952 0.596 0.267
Mo: 0.404 0.733 0.048
Mo: 0.048 0.404 0.733
Mo: 0.267 0.952 0.596
Mo: 0.733 0.048 0.404
Mo: 0.596 0.267 0.952
Ti: 0.869 0.869 0.869
Ti: 0.131 0.131 0.131
Re: 0.378 0.378 0.378
Re: 0.622 0.622 0.622

---

The following is a PBE calculation of an optimized crystal structure of LaCuHg, from the Alexandria database.

## Properties
SG ... No. 216
ΔE_f ... -237 meV/atom
Calculated density ... 8587 kg/m³
VASP energy ... -3.346 eV/atom
Magnetization ... 0.000 μB per formula unit
Crystal system ... cubic

a = 4.795 Å, b = 4.795 Å, c = 4.795 Å
α = 60.00°, β = 60.00°, γ = 60.00°
Element x y z (fractional)
Cu: 0.750 0.750 0.750
La: 0.500 0.500 0.500
Hg: 0.000 0.000 0.000